(1)
Li2Zn2Rh4C: relaxed, PBE.

The structure in POSCAR format:
```
Li2Zn2Rh4C
1.0
-2.757 2.757 3.862
2.757 -2.757 3.862
2.757 2.757 -3.862
Li Zn Rh C
2 2 4 1
Direct
0.236 0.236 0.000 Li
0.764 0.764 0.000 Li
0.250 0.750 0.500 Zn
0.750 0.250 0.500 Zn
0.247 0.247 0.493 Rh
0.247 0.753 0.000 Rh
0.753 0.247 0.000 Rh
0.753 0.753 0.507 Rh
0.500 0.500 0.000 C
```

Values from the calculation:
For the total energy, the calculation gives -5.2137 eV per atom. The energy of formation comes out at -213 meV per atom. The density of states at the Fermi level comes out at 5.09 states/eV/cell. As for the crystal system: tetragonal. The value obtained for the calculated volume is 13.048 Å³/atom. As for the space group: I4/mmm, No. 139.

---

(2)
LiRu3C: relaxed, PBE.

The structure in POSCAR format:
```
LiRu3C
1.0
4.024 0.000 0.000
0.000 4.024 0.000
0.000 0.000 4.024
Li Ru C
1 3 1
Direct
0.000 0.000 0.000 Li
0.000 0.500 0.500 Ru
0.500 0.000 0.500 Ru
0.500 0.500 0.000 Ru
0.500 0.500 0.500 C
```

Values from the calculation:
For the total energy, the calculation gives -7.5102 eV per atom. The energy of formation comes out at 283 meV per atom. The calculation puts the energy above the most stable polymorph in this dataset at 0.000 eV/atom. The density of states at the Fermi level comes out at 5.32 states/eV/cell. As for the crystal system: cubic. The value obtained for the calculated volume is 13.032 Å³/atom. As for the space group: Pm-3m, No. 221.

---

(3)
Li3RuC: relaxed, PBE.

The structure in POSCAR format:
```
Li3RuC
1.0
4.486 0.000 0.000
0.000 4.486 0.000
0.000 0.000 4.486
Li Ru C
3 1 1
Direct
0.000 0.000 0.500 Li
0.000 0.500 0.000 Li
0.500 0.000 0.000 Li
0.000 0.000 0.000 Ru
0.500 0.500 0.500 C
```

Values from the calculation:
For the total energy, the calculation gives -2.8125 eV per atom. The energy of formation comes out at 2036 meV per atom. The calculation puts the energy above the most stable polymorph in this dataset at 1.056 eV/atom. The density of states at the Fermi level comes out at 5.95 states/eV/cell. As for the crystal system: cubic. The value obtained for the calculated volume is 18.059 Å³/atom. As for the space group: Pm-3m, No. 221.

---

(4)
LiRuC: relaxed, PBE.

The structure in POSCAR format:
```
LiRuC
1.0
3.856 0.000 0.000
0.000 3.856 0.000
0.000 0.000 4.889
Li Ru C
2 2 2
Direct
0.250 0.250 0.094 Li
0.750 0.750 0.906 Li
0.250 0.750 0.500 Ru
0.750 0.250 0.500 Ru
0.250 0.250 0.651 C
0.750 0.750 0.349 C
```

Values from the calculation:
For the total energy, the calculation gives -6.6262 eV per atom. The energy of formation comes out at 178 meV per atom. The calculation puts the energy above the most stable polymorph in this dataset at 0.014 eV/atom. The density of states at the Fermi level comes out at 2.86 states/eV/cell. As for the crystal system: tetragonal. The value obtained for the calculated volume is 12.115 Å³/atom. As for the space group: P4/nmm, No. 129.